## Ta2NbV (PBE-GGA)

Data for a relaxed structure of Ta2NbV.

Calculated values
Its crystal system is tetragonal. As for the calculated formation energy: 0.66 eV per atom. The calculation puts the total energy at -10.06 eV/atom. Its energy above the most stable polymorph in this dataset is 0.639 eV/atom.

Cell: 5.830 5.830 5.830 Å, 103.01 103.01 123.34°
Fractional coordinates of all 8 atoms:
Ta (0.109, 0.125, 0.484)
Ta (0.375, 0.891, 0.016)
Ta (0.641, 0.625, 0.516)
Ta (0.875, 0.359, 0.984)
Nb (0.250, 0.750, 0.500)
Nb (0.500, 0.500, 0.000)
V (0.000, 0.000, 0.000)
V (0.750, 0.250, 0.500)